! PBE Ba2ZrBr, relaxed; values from VASP
! Formation energy without anion corrections in meV/atom: 109
&SYSTEM
  ibrav = 0, nat = 8, ntyp = 3
/
ATOMIC_SPECIES
Ba 137.33 Ba.upf
Zr 91.22 Zr.upf
Br 79.90 Br.upf
CELL_PARAMETERS angstrom
4.5588 0.0000 0.0000
0.0000 7.0276 0.0000
0.0000 0.0000 10.9769
ATOMIC_POSITIONS crystal
Ba 0.0000 0.0000 0.2124
Ba 0.0000 0.0000 0.7876
Ba 0.5000 0.5000 0.2876
Ba 0.5000 0.5000 0.7124
Zr 0.0000 0.5000 0.0000
Zr 0.5000 0.0000 0.5000
Br 0.0000 0.5000 0.5000
Br 0.5000 0.0000 0.0000